[1]
## KMn2Pt (PBE)

Data for a geometry-optimized KMn2Pt structure.

As for the crystal system: tetragonal. As for the energy of formation from the pure elements: 33.5 kJ/mol of atoms.

abc: 3.295 3.295 8.459
angles: 90.00 90.00 90.00
Fractional positions:
K 0.000 0.000 0.000
Mn 0.500 0.500 0.340
Mn 0.500 0.500 0.660
Pt 0.000 0.000 0.500

[2]
## BaTlBr2 (PBE)

Data for a geometry-optimized BaTlBr2 structure.

As for the crystal system: tetragonal. For the energy relative to the elements, uncorrected, the calculation gives -1.18 eV/atom.

abc: 10.926 10.926 10.926
angles: 148.54 148.54 45.09
Fractional positions:
Ba 0.000 0.000 0.000
Ba 0.750 0.250 0.500
Tl 0.250 0.750 0.500
Tl 0.500 0.500 0.000
Br 0.104 0.625 0.979
Br 0.375 0.354 0.479
Br 0.646 0.125 0.021
Br 0.875 0.896 0.521

[3]
## KIn2Ir2 (PBE)

Data for a geometry-optimized KIn2Ir2 structure.

As for the crystal system: tetragonal. As for the energy of formation from the pure elements: 6.1 kJ/mol of atoms.

abc: 8.232 8.232 2.986
angles: 90.00 90.00 90.00
Fractional positions:
K 0.000 0.000 0.000
K 0.500 0.500 0.000
In 0.143 0.357 0.000
In 0.357 0.857 0.000
In 0.643 0.143 0.000
In 0.857 0.643 0.000
Ir 0.150 0.650 0.500
Ir 0.350 0.150 0.500
Ir 0.650 0.850 0.500
Ir 0.850 0.350 0.500

[4]
## ZnGaN2 (PBE)

Data for a geometry-optimized ZnGaN2 structure.

As for the crystal system: tetragonal. For the energy relative to the elements, uncorrected, the calculation gives 0.09 eV/atom.

abc: 5.578 5.578 5.578
angles: 131.27 131.27 71.39
Fractional positions:
Zn 0.000 0.000 0.000
Zn 0.750 0.250 0.500
Ga 0.250 0.750 0.500
Ga 0.500 0.500 0.000
N 0.137 0.625 0.012
N 0.375 0.387 0.512
N 0.613 0.125 0.988
N 0.875 0.863 0.488

[5]
## As2WBr (PBE)

Data for a geometry-optimized As2WBr structure.

As for the crystal system: orthorhombic. For the energy relative to the elements, uncorrected, the calculation gives 0.64 eV/atom.

abc: 3.070 3.070 9.664
angles: 90.00 90.00 117.83
Fractional positions:
As 0.000 0.000 0.000
As 0.500 0.500 0.254
W 0.000 0.000 0.461
Br 0.500 0.500 0.683

[6]
## In2RuCl (PBE)

Data for a geometry-optimized In2RuCl structure.

As for the crystal system: tetragonal. For the energy relative to the elements, uncorrected, the calculation gives 0.34 eV/atom.

abc: 7.763 7.763 7.763
angles: 131.86 131.86 70.45
Fractional positions:
In 0.077 0.625 0.952
In 0.375 0.327 0.452
In 0.673 0.125 0.048
In 0.875 0.923 0.548
Ru 0.000 0.000 0.000
Ru 0.750 0.250 0.500
Cl 0.250 0.750 0.500
Cl 0.500 0.500 0.000

[7]
## Nd5Mg2In (PBE)

Data for a geometry-optimized Nd5Mg2In structure.

As for the crystal system: tetragonal. As for the energy of formation from the pure elements: -6.3 kJ/mol of atoms.

abc: 9.661 9.661 9.661
angles: 130.30 130.30 72.93
Fractional positions:
Nd 0.000 0.000 0.000
Nd 0.003 0.503 0.825
Nd 0.179 0.003 0.500
Nd 0.321 0.821 0.825
Nd 0.497 0.321 0.500
Nd 0.500 0.500 0.000
Nd 0.503 0.679 0.500
Nd 0.679 0.179 0.175
Nd 0.821 0.997 0.500
Nd 0.997 0.497 0.175
Mg 0.127 0.373 0.500
Mg 0.373 0.873 0.247
Mg 0.627 0.127 0.753
Mg 0.873 0.627 0.500
In 0.250 0.250 0.000
In 0.750 0.750 0.000

[8]
## CsKNa2Ag (PBE)

Data for a geometry-optimized CsKNa2Ag structure.

As for the crystal system: tetragonal. As for the energy of formation from the pure elements: 8.8 kJ/mol of atoms.

abc: 6.140 6.140 6.977
angles: 90.00 90.00 90.00
Fractional positions:
Cs 0.000 0.000 0.000
K 0.500 0.500 0.000
Na 0.000 0.500 0.500
Na 0.500 0.000 0.500
Ag 0.000 0.000 0.500